Material: ReAsF
Method: DFT, PBE-GGA
State: relaxed

Cell: 5.9262 6.1139 6.6063 Å, 111.41 99.47 103.20°
With the nearest neighbours (Å) after each atom.
Atoms (fractional coordinates):
Re (0.0000, 0.0000, 0.0000)  1 F 1.96
Re (0.0925, 0.3466, 0.8126)  1 F 1.96
Re (0.4825, 0.4582, 0.0539)  1 F 2.12, 1 Re 2.37
Re (0.6290, 0.6706, 0.7847)  1 F 2.03
As (0.3982, 0.9998, 0.8378)  1 As 2.47, 3 Re 2.52-2.75
As (0.6527, 0.9213, 0.1866)  3 Re 2.50-2.61
As (0.9060, 0.3911, 0.1214)  3 Re 2.44-2.63
As (0.9973, 0.9020, 0.5848)  2 Re 2.45-2.58, 1 As 2.47
F (0.1533, 0.4401, 0.5675)  1 Re 1.96
F (0.1949, 0.9619, 0.2466)  1 Re 1.96
F (0.4976, 0.5633, 0.4007)  2 Re 2.12-2.32
F (0.7276, 0.3665, 0.6345)  1 Re 2.03

Uncorrected formation energy, kJ/mol of atoms: -49.5
Uncorrected energy, eV for the cell shown: -82.0
Crystal system: triclinic

***

Material: ReAsF2
Method: DFT, PBE-GGA
State: relaxed

Cell: 5.9265 5.9265 5.9265 Å, 99.21 99.21 132.84°
With the nearest neighbours (Å) after each atom.
Atoms (fractional coordinates):
Re (0.0000, 0.0000, 0.0000)  4 F 2.15, 2 As 2.37
Re (0.7500, 0.2500, 0.5000)  4 F 2.15, 2 As 2.37
As (0.2500, 0.7500, 0.5000)  2 Re 2.37
As (0.5000, 0.5000, 0.0000)  2 Re 2.37
F (0.3750, 0.0254, 0.1504)  2 Re 2.15
F (0.7754, 0.6250, 0.6504)  2 Re 2.15
F (0.8750, 0.2246, 0.8496)  2 Re 2.15
F (0.9746, 0.1250, 0.3496)  2 Re 2.15

Uncorrected formation energy, kJ/mol of atoms: -37.0
Uncorrected energy, eV for the cell shown: -44.8
Crystal system: tetragonal
Energy relative to the lowest polymorph listed for this composition, kJ/mol of atoms: 33.85

***

Material: ReAsF3
Method: DFT, PBE-GGA
State: relaxed

Cell: 4.4067 4.4067 4.4067 Å, 90.00 90.00 90.00°
With the nearest neighbours (Å) after each atom.
Atoms (fractional coordinates):
Re (0.0000, 0.0000, 0.0000)  12 F 3.12
As (0.5000, 0.5000, 0.5000)  6 F 2.20
F (0.0000, 0.5000, 0.5000)  2 As 2.20
F (0.5000, 0.0000, 0.5000)  2 As 2.20
F (0.5000, 0.5000, 0.0000)  2 As 2.20

Uncorrected formation energy, kJ/mol of atoms: 0.3
Uncorrected energy, eV for the cell shown: -22.7
Crystal system: cubic
Energy relative to the lowest polymorph listed for this composition, kJ/mol of atoms: 28.13

***

Material: ReAsF2
Method: DFT, PBE-GGA
State: relaxed

Cell: 9.1305 9.1305 9.1305 Å, 17.33 17.33 17.33°
With the nearest neighbours (Å) after each atom.
Atoms (fractional coordinates):
Re (0.0000, 0.0000, 0.0000)  6 Re 2.75, 6 F 3.06
As (0.5000, 0.5000, 0.5000)  2 F 1.89
F (0.4301, 0.4301, 0.4301)  1 As 1.89
F (0.5699, 0.5699, 0.5699)  1 As 1.89

Uncorrected formation energy, kJ/mol of atoms: -27.2
Uncorrected energy, eV for the cell shown: -22.0
Crystal system: trigonal
Energy relative to the lowest polymorph listed for this composition, kJ/mol of atoms: 43.69

***

Material: ReAs2F
Method: DFT, PBE-GGA
State: relaxed

Cell: 6.7605 6.7605 6.7605 Å, 130.73 130.73 72.24°
With the nearest neighbours (Å) after each atom.
Atoms (fractional coordinates):
Re (0.0000, 0.0000, 0.0000)  4 As 2.36
Re (0.7500, 0.2500, 0.5000)  4 As 2.36
As (0.1064, 0.6250, 0.9814)  2 Re 2.36, 2 F 2.48
As (0.3750, 0.3564, 0.4814)  2 Re 2.36, 2 F 2.48
As (0.6436, 0.1250, 0.0186)  2 Re 2.36, 2 F 2.48
As (0.8750, 0.8936, 0.5186)  2 Re 2.36, 2 F 2.48
F (0.2500, 0.7500, 0.5000)  4 As 2.48
F (0.5000, 0.5000, 0.0000)  4 As 2.48

Uncorrected formation energy, kJ/mol of atoms: 1.1
Uncorrected energy, eV for the cell shown: -47.1
Crystal system: tetragonal
Energy relative to the lowest polymorph listed for this composition, kJ/mol of atoms: 0.29

***

Material: ReAs2F
Method: DFT, PBE-GGA
State: relaxed

Cell: 4.3836 4.3836 4.3836 Å, 60.00 60.00 60.00°
With the nearest neighbours (Å) after each atom.
Atoms (fractional coordinates):
Re (0.0000, 0.0000, 0.0000)  8 As 2.68
As (0.2500, 0.2500, 0.2500)  4 F 2.68, 4 Re 2.68
As (0.7500, 0.7500, 0.7500)  4 F 2.68, 4 Re 2.68
F (0.5000, 0.5000, 0.5000)  8 As 2.68

Uncorrected formation energy, kJ/mol of atoms: 0.8
Uncorrected energy, eV for the cell shown: -23.6
Crystal system: cubic
Energy relative to the lowest polymorph listed for this composition, kJ/mol of atoms: 0.00

***

Material: ReAsF2
Method: DFT, PBE-GGA
State: relaxed

Cell: 9.8334 9.8334 9.8334 Å, 16.15 16.15 16.15°
With the nearest neighbours (Å) after each atom.
Atoms (fractional coordinates):
Re (0.0000, 0.0000, 0.0000)  2 F 1.90
As (0.5000, 0.5000, 0.5000)  6 As 2.76
F (0.0654, 0.0654, 0.0654)  1 Re 1.90
F (0.9346, 0.9346, 0.9346)  1 Re 1.90

Uncorrected formation energy, kJ/mol of atoms: -70.9
Uncorrected energy, eV for the cell shown: -23.8
Crystal system: trigonal
Energy relative to the lowest polymorph listed for this composition, kJ/mol of atoms: 0.00

***

Material: ReAsF3
Method: DFT, PBE-GGA
State: relaxed

Cell: 4.1620 4.1620 4.1620 Å, 90.00 90.00 90.00°
With the nearest neighbours (Å) after each atom.
Atoms (fractional coordinates):
Re (0.0000, 0.0000, 0.0000)  6 F 2.08
As (0.5000, 0.5000, 0.5000)  12 F 2.94
F (0.0000, 0.0000, 0.5000)  2 Re 2.08
F (0.0000, 0.5000, 0.0000)  2 Re 2.08
F (0.5000, 0.0000, 0.0000)  2 Re 2.08

Uncorrected formation energy, kJ/mol of atoms: -27.8
Uncorrected energy, eV for the cell shown: -24.2
Crystal system: cubic
Energy relative to the lowest polymorph listed for this composition, kJ/mol of atoms: 0.00

***

Result set for total magnetization: 0.00, 0.76, 5.00, 2.02, 0.00, 1.60, 0.93, 0.00 μB/cell, one per record in the order listed.